Record 1
GGA-PBE Ca2LaAu6, optimized geometry; space group = P6/mmm (191)
1.0
3.636 0.000 0.000
0.000 7.146 -4.126
0.000 0.000 8.252
La Au Ca
1 6 2
direct
0.000 0.000 0.000
0.500 0.335 0.000
0.500 0.665 0.000
0.500 0.000 0.665
0.500 0.000 0.335
0.500 0.665 0.665
0.500 0.335 0.335
0.000 0.333 0.667
0.000 0.667 0.333

***

Record 2
GGA-PBE FeMo2P, optimized geometry; space group = I-42d (122)
1.0
-0.895 5.888 2.670
-6.264 -1.457 1.113
-2.916 1.217 4.317
P Fe Mo
2 2 4
direct
0.500 0.500 0.000
0.250 0.750 0.500
0.750 0.250 0.500
0.000 0.000 0.000
0.875 0.871 0.750
0.129 0.625 0.250
0.621 0.125 0.250
0.375 0.379 0.750

***

Record 3
GGA-PBE Zr2As2W, optimized geometry; energy above the most stable polymorph in this dataset = 0.986 eV/atom; space group = I4/mmm (139)
1.0
-5.834 -0.087 2.448
-4.632 3.757 -2.113
4.421 -3.968 -2.179
Zr As W
2 2 1
direct
0.750 0.250 0.500
0.250 0.750 0.500
0.395 0.395 0.000
0.605 0.605 0.000
0.000 0.000 0.000

***

Record 4
GGA-PBE SmY12Ho2, optimized geometry; space group = C2/m (12)
1.0
-4.898 0.438 4.489
1.479 -2.432 6.019
3.424 24.044 5.677
Y Ho Sm
24 4 2
direct
0.168 0.835 0.445
0.106 0.394 0.859
0.406 0.604 0.798
0.321 0.179 0.574
0.500 0.493 0.330
0.604 0.406 0.202
0.179 0.321 0.426
0.556 0.444 0.926
0.899 0.601 0.136
0.835 0.168 0.555
0.896 0.094 0.798
0.815 0.685 0.577
0.000 0.007 0.670
0.665 0.332 0.445
0.094 0.896 0.202
0.685 0.815 0.423
0.332 0.665 0.555
0.601 0.899 0.864
0.444 0.556 0.074
0.944 0.056 0.074
0.394 0.106 0.141
0.056 0.944 0.926
0.007 0.000 0.330
0.493 0.500 0.670
0.457 0.043 0.728
0.043 0.457 0.272
0.550 0.950 0.272
0.950 0.550 0.728
0.002 0.498 0.998
0.498 0.002 0.002

***

Record 5
GGA-PBE Ca2HgRhN, optimized geometry; space group = P4/mmm (123); E_form (uncorrected) = -0.6270 eV per atom
1.0
5.083 0.000 0.000
0.000 5.083 0.000
0.000 0.000 3.867
Rh Hg Ca N
1 1 2 1
direct
0.000 0.000 0.500
0.500 0.500 0.500
0.000 0.500 0.000
0.500 0.000 0.000
0.000 0.000 0.000

***

Record 6
GGA-PBE TbErZr2N4, optimized geometry; space group = P2/m (10); E_form (uncorrected) = -1.7337 eV per atom
1.0
3.340 0.000 0.000
0.000 5.779 0.098
0.000 -2.023 5.475
N Er Tb Zr
4 1 1 2
direct
0.500 0.748 0.735
0.000 0.758 0.267
0.000 0.242 0.733
0.500 0.252 0.265
0.000 0.000 0.000
0.500 0.500 0.000
0.500 0.000 0.500
0.000 0.500 0.500

***

Record 7
GGA-PBE SrCu2Mo, optimized geometry; energy above the most stable polymorph in this dataset = 0.235 eV/atom; space group = Cm (8)
1.0
5.292 0.012 0.020
4.539 2.720 0.020
1.368 0.380 5.051
Mo Cu Sr
1 2 1
direct
0.475 0.475 0.591
0.731 0.731 0.710
0.032 0.032 0.992
0.263 0.263 0.206

***

Record 8
GGA-PBE ErP2Os, optimized geometry; space group = R-3m (166)
1.0
3.837 0.000 0.000
1.918 3.323 0.000
1.918 1.108 5.381
P Os Er
2 1 1
direct
0.270 0.270 0.191
0.730 0.730 0.809
0.000 0.000 0.000
0.500 0.500 0.500

***

Record 9
GGA-PBE Na3TcMo, optimized geometry; energy above the most stable polymorph in this dataset = 0.000 eV/atom; space group = Pm-3m (221)
1.0
5.638 0.000 0.000
0.000 5.638 0.000
0.000 0.000 5.638
Tc Na Mo
1 3 1
direct
0.000 0.000 0.000
0.000 0.500 0.000
0.500 0.000 0.000
0.000 0.000 0.500
0.500 0.500 0.500

***

Record 10
GGA-PBE CsInCuO3, optimized geometry; space group = P2_1/m (11); E_form (uncorrected) = -1.1142 eV per atom
1.0
3.597 0.000 0.000
0.000 7.586 -1.048
0.000 -3.026 8.975
O Cu Cs In
6 2 2 2
direct
0.250 0.886 0.387
0.750 0.492 0.126
0.250 0.120 0.849
0.750 0.880 0.151
0.250 0.508 0.874
0.750 0.114 0.613
0.250 0.029 0.622
0.750 0.971 0.378
0.750 0.761 0.788
0.250 0.239 0.212
0.250 0.679 0.128
0.750 0.321 0.872

***

Record 11
GGA-PBE InGaHg, optimized geometry; space group = P-1 (2)
1.0
-0.662 2.117 2.616
1.515 -4.183 5.666
5.425 2.943 -0.898
In Hg Ga
2 2 2
direct
0.040 0.620 0.627
0.714 0.219 0.316
0.411 0.844 0.196
0.342 0.994 0.747
0.669 0.333 0.808
0.085 0.505 0.135

***

Record 12
GGA-PBE LaHf2Os2, optimized geometry; energy above the most stable polymorph in this dataset = 0.438 eV/atom; space group = I4/mmm (139)
1.0
-2.269 3.648 -1.188
-3.055 -0.883 3.123
0.375 4.528 4.826
La Os Hf
1 2 2
direct
0.000 0.000 0.000
0.750 0.250 0.500
0.250 0.750 0.500
0.366 0.366 0.267
0.634 0.634 0.733

***

Density of states at the Fermi level for the records above, in order: 3.297; 6.452; 4.347; 51.314; 1.252; 3.201; 3.838; 3.489; 3.038; 1.136; 1.968; 4.414 states/eV per cell
Density for the records above, in order: 10.851; 8.029; 8.345; 5.249; 6.608; 8.817; 7.130; 10.153; 2.436; 5.111; 8.670; 12.561 g cm⁻³
Final energy for the records above, in order: -3.912; -8.560; -7.475; -5.978; -4.623; -9.183; -4.537; -7.419; -2.992; -4.875; -1.995; -9.394 eV per atom